(1)
Tb12Pm2Tm, optimized geometry, DFT GGA-PBE; ΔH_f (0 K) = 0.12 eV/atom; crystal system = monoclinic; SG = C2/m, No. 12
1.0
3.513 -5.675 0.000
3.513 5.675 0.000
-3.002 0.000 24.500
Tb Pm Tm
24 4 2
Direct
0.006 0.458 0.302 Tb
0.057 0.549 0.830 Tb
0.140 0.655 0.055 Tb
0.161 0.161 0.068 Tb
0.189 0.730 0.570 Tb
0.206 0.206 0.652 Tb
0.270 0.811 0.430 Tb
0.323 0.323 0.382 Tb
0.345 0.860 0.945 Tb
0.349 0.349 0.923 Tb
0.451 0.943 0.170 Tb
0.458 0.006 0.302 Tb
0.542 0.994 0.698 Tb
0.549 0.057 0.830 Tb
0.651 0.651 0.077 Tb
0.655 0.140 0.055 Tb
0.677 0.677 0.618 Tb
0.730 0.189 0.570 Tb
0.794 0.794 0.348 Tb
0.811 0.270 0.430 Tb
0.839 0.839 0.932 Tb
0.860 0.345 0.945 Tb
0.943 0.451 0.170 Tb
0.994 0.542 0.698 Tb
0.028 0.028 0.782 Pm
0.462 0.462 0.225 Pm
0.538 0.538 0.775 Pm
0.972 0.972 0.218 Pm
0.256 0.256 0.516 Tm
0.744 0.744 0.484 Tm



(2)
Na3ReP, optimized geometry, DFT GGA-PBE; ΔH_f (0 K) = 1.72 eV/atom; energy above the lowest structure with this stoichiometry = 556 meV/atom; crystal system = cubic; SG = Pm-3m, No. 221
1.0
5.630 0.000 0.000
0.000 5.630 0.000
0.000 0.000 5.630
Na Re P
3 1 1
Direct
0.000 0.000 0.500 Na
0.000 0.500 0.000 Na
0.500 0.000 0.000 Na
0.000 0.000 0.000 Re
0.500 0.500 0.500 P



(3)
PaSb2Au, optimized geometry, DFT GGA-PBE; crystal system = tetragonal; SG = P4/mmm, No. 123; ΔE_f (raw) = -0.201 eV per atom
1.0
3.990 0.000 0.000
0.000 3.990 0.000
0.000 0.000 6.245
Pa Sb Au
1 2 1
Direct
0.000 0.000 0.000 Pa
0.500 0.500 0.249 Sb
0.500 0.500 0.751 Sb
0.000 0.000 0.500 Au



What did the second record say?
Na3ReP, optimized geometry, DFT GGA-PBE; ΔH_f (0 K) = 1.72 eV/atom; energy above the lowest structure with this stoichiometry = 556 meV/atom; crystal system = cubic; SG = Pm-3m, No. 221
1.0
5.630 0.000 0.000
0.000 5.630 0.000
0.000 0.000 5.630
Na Re P
3 1 1
Direct
0.000 0.000 0.500 Na
0.000 0.500 0.000 Na
0.500 0.000 0.000 Na
0.000 0.000 0.000 Re
0.500 0.500 0.500 P